{"formula": "NbZnCd", "functional": "PBE", "state": "optimized geometry", "relative_energy_mev_per_atom": 0, "space_group": "F-43m, No. 216", "delta_e_f_mev_per_atom": 770, "e_tot_ev_per_atom": -3.314, "magmom_total_mub_per_fu": 0.569, "vol_a3_per_atom": 20.42, "cell": [[-0.394, -4.168, -1.434], [-3.389, -1.130, -2.611], [0.713, -0.950, -4.263]], "species": ["Zn", "Nb", "Cd"], "frac_coords": [[0.750, 0.750, 0.750], [0.250, 0.250, 0.250], [0.000, 0.000, 0.000]]}